No. 1
# SnIrPtSe | Alexandria | PBE | optimized geometry
data_SnIrPtSe
_symmetry_space_group_name_H-M 'P m m 2'
_symmetry_Int_Tables_number 25
_cell_length_a 3.564
_cell_length_b 4.106
_cell_length_c 6.255
_cell_angle_alpha 90.00
_cell_angle_beta 90.00
_cell_angle_gamma 90.00
loop_
_symmetry_equiv_pos_as_xyz
'x,y,z'
'-x,-y,z'
'-x,y,z'
'x,-y,z'
loop_
_atom_site_label
_atom_site_fract_x
_atom_site_fract_y
_atom_site_fract_z
Sn1 0.000 0.000 0.000
Ir1 0.000 0.500 0.730
Pt1 0.500 0.500 0.090
Se1 0.500 0.500 0.488
# Total magnetic moment (μB/cell): 0.00
# Distance to the lowest polymorph of the same formula (meV/atom): 45

---

No. 2
# SnIrPtSe | Alexandria | PBE | optimized geometry
data_SnIrPtSe
_symmetry_space_group_name_H-M 'R 3 m'
_symmetry_Int_Tables_number 160
_symmetry_space_group_name_Hall 'R 3 -2"'
_cell_length_a 4.0774
_cell_length_b 4.0774
_cell_length_c 16.9832
_cell_angle_alpha 90.00
_cell_angle_beta 90.00
_cell_angle_gamma 120.00
loop_
_atom_site_label
_atom_site_fract_x
_atom_site_fract_y
_atom_site_fract_z
Sn1 0.0000 0.0000 0.0000
Ir1 0.0000 0.0000 0.8326
Pt1 0.0000 0.0000 0.4078
Se1 0.0000 0.0000 0.2013
# Total magnetic moment (μB/cell): 0.00
# Distance to the lowest polymorph of the same formula (meV/atom): 51

---

No. 3
# SnIrPtSe | Alexandria | PBE | optimized geometry
data_SnIrPtSe
_symmetry_space_group_name_H-M 'C 1 m 1'
_symmetry_Int_Tables_number 8
_cell_length_a 7.178
_cell_length_b 3.913
_cell_length_c 5.792
_cell_angle_alpha 90.00
_cell_angle_beta 90.12
_cell_angle_gamma 90.00
loop_
_symmetry_equiv_pos_as_xyz
'x,y,z'
'x,-y,z'
'x+1/2,y+1/2,z'
'x+1/2,-y+1/2,z'
loop_
_atom_site_label
_atom_site_fract_x
_atom_site_fract_y
_atom_site_fract_z
Sn1 0.000 0.000 0.000
Ir1 0.002 0.000 0.506
Pt1 0.326 0.000 0.226
Se1 0.177 0.500 0.625
# Total magnetic moment (μB/cell): 0.00
# Distance to the lowest polymorph of the same formula (meV/atom): 44

---

No. 4
# Sn2IrPtSe | Alexandria | PBE | optimized geometry
data_Sn2IrPtSe
_symmetry_space_group_name_H-M 'P 4/m m m'
_symmetry_Int_Tables_number 123
_symmetry_space_group_name_Hall '-P 4 2'
_cell_length_a 5.144
_cell_length_b 5.144
_cell_length_c 4.826
_cell_angle_alpha 90.00
_cell_angle_beta 90.00
_cell_angle_gamma 90.00
loop_
_atom_site_label
_atom_site_fract_x
_atom_site_fract_y
_atom_site_fract_z
Sn1 0.000 0.500 0.000
Ir1 0.000 0.000 0.500
Pt1 0.500 0.500 0.000
Se1 0.500 0.500 0.500
# Total DFT energy (no corrections) (eV per cell): -22.12
# Total magnetic moment (μB/cell): 0.00

---

No. 5
# SnIrPtSe | Alexandria | PBE | optimized geometry
data_SnIrPtSe
_symmetry_space_group_name_H-M 'P 1'
_symmetry_Int_Tables_number 1
_cell_length_a 3.527
_cell_length_b 4.573
_cell_length_c 6.112
_cell_angle_alpha 72.37
_cell_angle_beta 89.91
_cell_angle_gamma 67.41
loop_
_symmetry_equiv_pos_as_xyz
'x,y,z'
loop_
_atom_site_label
_atom_site_fract_x
_atom_site_fract_y
_atom_site_fract_z
Sn1 0.000 0.000 0.000
Ir1 0.244 0.514 0.813
Pt1 0.749 0.501 0.195
Se1 0.642 0.720 0.531
# Total magnetic moment (μB/cell): 0.00
# Distance to the lowest polymorph of the same formula (meV/atom): 83

---

No. 6
# TcIr2PtSe | Alexandria | PBE | optimized geometry
data_TcIr2PtSe
_symmetry_space_group_name_H-M 'P 4/m m m'
_symmetry_Int_Tables_number 123
_symmetry_space_group_name_Hall '-P 4 2'
_cell_length_a 4.699
_cell_length_b 4.699
_cell_length_c 4.814
_cell_angle_alpha 90.00
_cell_angle_beta 90.00
_cell_angle_gamma 90.00
loop_
_atom_site_label
_atom_site_fract_x
_atom_site_fract_y
_atom_site_fract_z
Tc1 0.000 0.000 0.000
Ir1 0.000 0.500 0.000
Pt1 0.000 0.000 0.500
Se1 0.500 0.500 0.500
# Total DFT energy (no corrections) (eV per cell): -29.43
# Total magnetic moment (μB/cell): 0.00

---

No. 7
# Te2IrPtSe | Alexandria | PBE | optimized geometry
data_Te2IrPtSe
_symmetry_space_group_name_H-M 'P 4/m m m'
_symmetry_Int_Tables_number 123
_symmetry_space_group_name_Hall '-P 4 2'
_cell_length_a 5.378
_cell_length_b 5.378
_cell_length_c 4.540
_cell_angle_alpha 90.00
_cell_angle_beta 90.00
_cell_angle_gamma 90.00
loop_
_atom_site_label
_atom_site_fract_x
_atom_site_fract_y
_atom_site_fract_z
Te1 0.000 0.500 0.000
Ir1 0.000 0.000 0.000
Pt1 0.500 0.500 0.500
Se1 0.000 0.000 0.500
# Total DFT energy (no corrections) (eV per cell): -20.49
# Total magnetic moment (μB/cell): 0.00

---

No. 8
# Th6Ir2Pt3Se | Alexandria | PBE | optimized geometry
data_Th6Ir2Pt3Se
_symmetry_space_group_name_H-M 'C 1 2/m 1'
_symmetry_Int_Tables_number 12
_cell_length_a 18.353
_cell_length_b 4.140
_cell_length_c 8.500
_cell_angle_alpha 90.00
_cell_angle_beta 103.26
_cell_angle_gamma 90.00
loop_
_symmetry_equiv_pos_as_xyz
'x,y,z'
'-x,-y,-z'
'-x,y,-z'
'x,-y,z'
'x+1/2,y+1/2,z'
'-x+1/2,-y+1/2,-z'
'-x+1/2,y+1/2,-z'
'x+1/2,-y+1/2,z'
loop_
_atom_site_label
_atom_site_fract_x
_atom_site_fract_y
_atom_site_fract_z
Th1 0.009 0.000 0.264
Th2 0.167 0.500 0.580
Th3 0.174 0.500 0.095
Ir1 0.168 0.000 0.333
Pt1 0.000 0.500 0.500
Pt2 0.160 0.000 0.835
Se1 0.000 0.500 0.000
# Total DFT energy (no corrections) (eV per cell): -195.68
# Total magnetic moment (μB/cell): 0.00

---

No. 9
# Th6Ir2PtSe3 | Alexandria | PBE | optimized geometry
data_Th6Ir2PtSe3
_symmetry_space_group_name_H-M 'C 1 2/m 1'
_symmetry_Int_Tables_number 12
_cell_length_a 18.876
_cell_length_b 4.157
_cell_length_c 8.757
_cell_angle_alpha 90.00
_cell_angle_beta 107.74
_cell_angle_gamma 90.00
loop_
_symmetry_equiv_pos_as_xyz
'x,y,z'
'-x,-y,-z'
'-x,y,-z'
'x,-y,z'
'x+1/2,y+1/2,z'
'-x+1/2,-y+1/2,-z'
'-x+1/2,y+1/2,-z'
'x+1/2,-y+1/2,z'
loop_
_atom_site_label
_atom_site_fract_x
_atom_site_fract_y
_atom_site_fract_z
Th1 0.009 0.000 0.240
Th2 0.162 0.500 0.102
Th3 0.174 0.500 0.567
Ir1 0.167 0.000 0.333
Pt1 0.000 0.500 0.000
Se1 0.000 0.500 0.500
Se2 0.165 0.000 0.834
# Total DFT energy (no corrections) (eV per cell): -189.39
# Total magnetic moment (μB/cell): 0.00

---

No. 10
# Th4Ir2PtSe | Alexandria | PBE | optimized geometry
data_Th4Ir2PtSe
_symmetry_space_group_name_H-M 'P 1 2/m 1'
_symmetry_Int_Tables_number 10
_cell_length_a 7.276
_cell_length_b 4.136
_cell_length_c 7.368
_cell_angle_alpha 90.00
_cell_angle_beta 108.35
_cell_angle_gamma 90.00
loop_
_symmetry_equiv_pos_as_xyz
'x,y,z'
'-x,-y,-z'
'-x,y,-z'
'x,-y,z'
loop_
_atom_site_label
_atom_site_fract_x
_atom_site_fract_y
_atom_site_fract_z
Th1 0.240 0.000 0.229
Th2 0.247 0.500 0.767
Ir1 0.000 0.500 0.000
Ir2 0.500 0.000 0.000
Pt1 0.000 0.000 0.500
Se1 0.500 0.500 0.500
# Total DFT energy (no corrections) (eV per cell): -66.30
# Total magnetic moment (μB/cell): 0.00

---

No. 11
# Th4IrPt2Se | Alexandria | PBE | optimized geometry
data_Th4IrPt2Se
_symmetry_space_group_name_H-M 'P 1 2/m 1'
_symmetry_Int_Tables_number 10
_cell_length_a 7.306
_cell_length_b 4.145
_cell_length_c 7.370
_cell_angle_alpha 90.00
_cell_angle_beta 108.43
_cell_angle_gamma 90.00
loop_
_symmetry_equiv_pos_as_xyz
'x,y,z'
'-x,-y,-z'
'-x,y,-z'
'x,-y,z'
loop_
_atom_site_label
_atom_site_fract_x
_atom_site_fract_y
_atom_site_fract_z
Th1 0.247 0.000 0.235
Th2 0.251 0.500 0.763
Ir1 0.500 0.000 0.000
Pt1 0.000 0.000 0.500
Pt2 0.000 0.500 0.000
Se1 0.500 0.500 0.500
# Total DFT energy (no corrections) (eV per cell): -63.67
# Total magnetic moment (μB/cell): 0.00

---

No. 12
# Th6Ir3Pt2Se | Alexandria | PBE | optimized geometry
data_Th6Ir3Pt2Se
_symmetry_space_group_name_H-M 'C 1 2/m 1'
_symmetry_Int_Tables_number 12
_cell_length_a 18.405
_cell_length_b 4.128
_cell_length_c 8.513
_cell_angle_alpha 90.00
_cell_angle_beta 104.38
_cell_angle_gamma 90.00
loop_
_symmetry_equiv_pos_as_xyz
'x,y,z'
'-x,-y,-z'
'-x,y,-z'
'x,-y,z'
'x+1/2,y+1/2,z'
'-x+1/2,-y+1/2,-z'
'-x+1/2,y+1/2,-z'
'x+1/2,-y+1/2,z'
loop_
_atom_site_label
_atom_site_fract_x
_atom_site_fract_y
_atom_site_fract_z
Th1 0.002 0.000 0.233
Th2 0.164 0.500 0.087
Th3 0.174 0.500 0.577
Ir1 0.000 0.500 0.000
Ir2 0.164 0.000 0.332
Pt1 0.167 0.000 0.831
Se1 0.000 0.500 0.500
# Total DFT energy (no corrections) (eV per cell): -200.94
# Total magnetic moment (μB/cell): 0.00

---

No. 13
# Si2IrPt | Alexandria | PBE | optimized geometry
data_Si2IrPt
_symmetry_space_group_name_H-M 'I m m 2'
_symmetry_Int_Tables_number 44
_cell_length_a 2.756
_cell_length_b 3.590
_cell_length_c 12.291
_cell_angle_alpha 90.00
_cell_angle_beta 90.00
_cell_angle_gamma 90.00
loop_
_symmetry_equiv_pos_as_xyz
'x,y,z'
'-x,-y,z'
'-x,y,z'
'x,-y,z'
'x+1/2,y+1/2,z+1/2'
'-x+1/2,-y+1/2,z+1/2'
'-x+1/2,y+1/2,z+1/2'
'x+1/2,-y+1/2,z+1/2'
loop_
_atom_site_label
_atom_site_fract_x
_atom_site_fract_y
_atom_site_fract_z
Si1 0.000 0.000 0.000
Si2 0.000 0.500 0.247
Ir1 0.000 0.500 0.667
Pt1 0.000 0.000 0.404
# Total magnetic moment (μB/cell): 0.00
# Distance to the lowest polymorph of the same formula (meV/atom): 115

---

No. 14
# SiIr2Pt | Alexandria | PBE | optimized geometry
data_SiIr2Pt
_symmetry_space_group_name_H-M 'P 1 2/m 1'
_symmetry_Int_Tables_number 10
_cell_length_a 2.881
_cell_length_b 3.932
_cell_length_c 5.305
_cell_angle_alpha 90.00
_cell_angle_beta 104.04
_cell_angle_gamma 90.00
loop_
_symmetry_equiv_pos_as_xyz
'x,y,z'
'-x,-y,-z'
'-x,y,-z'
'x,-y,z'
loop_
_atom_site_label
_atom_site_fract_x
_atom_site_fract_y
_atom_site_fract_z
Si1 0.000 0.000 0.000
Ir1 0.361 0.500 0.228
Pt1 0.000 0.000 0.500
# Total DFT energy (no corrections) (eV per cell): -30.06
# Total magnetic moment (μB/cell): 0.00

---

No. 15
# SiIr2Pt | Alexandria | PBE | optimized geometry
data_SiIr2Pt
_symmetry_space_group_name_H-M 'C m m m'
_symmetry_Int_Tables_number 65
_symmetry_space_group_name_Hall '-C 2 2'
_cell_length_a 2.798
_cell_length_b 4.846
_cell_length_c 8.730
_cell_angle_alpha 90.00
_cell_angle_beta 90.00
_cell_angle_gamma 90.00
loop_
_atom_site_label
_atom_site_fract_x
_atom_site_fract_y
_atom_site_fract_z
Si1 0.000 0.000 0.000
Ir1 0.000 0.500 0.217
Pt1 0.000 0.000 0.500
# Total DFT energy (no corrections) (eV per cell): -59.05
# Total magnetic moment (μB/cell): 0.00

---

No. 16
# SiIr2Pt | Alexandria | PBE | optimized geometry
data_SiIr2Pt
_symmetry_space_group_name_H-M 'R -3 m'
_symmetry_Int_Tables_number 166
_symmetry_space_group_name_Hall '-R 3 2"'
_cell_length_a 2.8124
_cell_length_b 2.8124
_cell_length_c 25.1954
_cell_angle_alpha 90.00
_cell_angle_beta 90.00
_cell_angle_gamma 120.00
loop_
_atom_site_label
_atom_site_fract_x
_atom_site_fract_y
_atom_site_fract_z
Si1 0.0000 0.0000 0.0000
Ir1 0.0000 0.0000 0.2609
Pt1 0.0000 0.0000 0.5000
# Total DFT energy (no corrections) (eV per cell): -91.30
# Total magnetic moment (μB/cell): 0.00

---

No. 17
# SiIrPt2 | Alexandria | PBE | optimized geometry
data_SiIrPt2
_symmetry_space_group_name_H-M 'P 4/m m m'
_symmetry_Int_Tables_number 123
_symmetry_space_group_name_Hall '-P 4 2'
_cell_length_a 4.704
_cell_length_b 4.704
_cell_length_c 2.723
_cell_angle_alpha 90.00
_cell_angle_beta 90.00
_cell_angle_gamma 90.00
loop_
_atom_site_label
_atom_site_fract_x
_atom_site_fract_y
_atom_site_fract_z
Si1 0.000 0.000 0.000
Ir1 0.500 0.500 0.000
Pt1 0.000 0.500 0.500
# Total DFT energy (no corrections) (eV per cell): -26.58
# Total magnetic moment (μB/cell): 0.00

---

No. 18
# SiIr2Pt | Alexandria | PBE | optimized geometry
data_SiIr2Pt
_symmetry_space_group_name_H-M 'A m m 2'
_symmetry_Int_Tables_number 38
_cell_length_a 3.783
_cell_length_b 2.807
_cell_length_c 10.981
_cell_angle_alpha 90.00
_cell_angle_beta 90.00
_cell_angle_gamma 90.00
loop_
_symmetry_equiv_pos_as_xyz
'x,y,z'
'-x,-y,z'
'-x,y,z'
'x,-y,z'
'x,y+1/2,z+1/2'
'-x,-y+1/2,z+1/2'
'-x,y+1/2,z+1/2'
'x,-y+1/2,z+1/2'
loop_
_atom_site_label
_atom_site_fract_x
_atom_site_fract_y
_atom_site_fract_z
Si1 0.000 0.000 0.000
Ir1 0.000 0.000 0.222
Ir2 0.500 0.000 0.582
Pt1 0.500 0.000 0.854
# Total DFT energy (no corrections) (eV per cell): -60.04
# Total magnetic moment (μB/cell): 0.00

---

No. 19
# SiIrPt2 | Alexandria | PBE | optimized geometry
data_SiIrPt2
_symmetry_space_group_name_H-M 'C 1 m 1'
_symmetry_Int_Tables_number 8
_cell_length_a 10.614
_cell_length_b 2.833
_cell_length_c 4.362
_cell_angle_alpha 90.00
_cell_angle_beta 114.20
_cell_angle_gamma 90.00
loop_
_symmetry_equiv_pos_as_xyz
'x,y,z'
'x,-y,z'
'x+1/2,y+1/2,z'
'x+1/2,-y+1/2,z'
loop_
_atom_site_label
_atom_site_fract_x
_atom_site_fract_y
_atom_site_fract_z
Si1 0.000 0.000 0.000
Ir1 0.304 0.000 0.803
Pt1 0.005 0.500 0.505
Pt2 0.204 0.500 0.204
# Total DFT energy (no corrections) (eV per cell): -55.24
# Total magnetic moment (μB/cell): 0.00

---

No. 20
# SiIrPt2 | Alexandria | PBE | optimized geometry
data_SiIrPt2
_symmetry_space_group_name_H-M 'P 4/m m m'
_symmetry_Int_Tables_number 123
_symmetry_space_group_name_Hall '-P 4 2'
_cell_length_a 3.831
_cell_length_b 3.831
_cell_length_c 3.974
_cell_angle_alpha 90.00
_cell_angle_beta 90.00
_cell_angle_gamma 90.00
loop_
_atom_site_label
_atom_site_fract_x
_atom_site_fract_y
_atom_site_fract_z
Si1 0.000 0.000 0.000
Ir1 0.500 0.500 0.000
Pt1 0.000 0.500 0.500
# Total DFT energy (no corrections) (eV per cell): -27.45
# Total magnetic moment (μB/cell): 0.00